1.
{"formula": "Ba2SnRhBr", "functional": "GGA-PBE", "state": "relaxed", "total_energy_ev_per_atom": -4.235, "cell": [[6.178, 0.000, 0.000], [0.000, 6.178, 0.000], [0.000, 0.000, 5.012]], "species": ["Ba", "Ba", "Sn", "Rh", "Br"], "frac_coords": [[0.000, 0.500, 0.000], [0.500, 0.000, 0.000], [0.000, 0.000, 0.500], [0.000, 0.000, 0.000], [0.500, 0.500, 0.500]]}



2.
{"formula": "BaSr2RhBr", "functional": "GGA-PBE", "state": "relaxed", "total_energy_ev_per_atom": -3.407, "cell": [[5.831, 0.000, 0.000], [0.000, 5.831, 0.000], [0.000, 0.000, 6.137]], "species": ["Ba", "Sr", "Sr", "Rh", "Br"], "frac_coords": [[0.000, 0.000, 0.000], [0.000, 0.500, 0.500], [0.500, 0.000, 0.500], [0.000, 0.000, 0.500], [0.500, 0.500, 0.000]]}



3.
{"formula": "Ba2SrRhBr", "functional": "GGA-PBE", "state": "relaxed", "total_energy_ev_per_atom": -3.458, "cell": [[6.108, 0.000, 0.000], [0.000, 6.108, 0.000], [0.000, 0.000, 5.837]], "species": ["Ba", "Ba", "Sr", "Rh", "Br"], "frac_coords": [[0.000, 0.500, 0.000], [0.500, 0.000, 0.000], [0.000, 0.000, 0.500], [0.000, 0.000, 0.000], [0.500, 0.500, 0.500]]}



4.
{"formula": "BaTaRhBr2", "functional": "GGA-PBE", "state": "relaxed", "total_energy_ev_per_atom": -5.171, "cell": [[5.199, 0.000, 0.000], [0.000, 5.199, 0.000], [0.000, 0.000, 5.009]], "species": ["Ba", "Ta", "Rh", "Br", "Br"], "frac_coords": [[0.000, 0.000, 0.000], [0.500, 0.500, 0.500], [0.500, 0.500, 0.000], [0.000, 0.500, 0.500], [0.500, 0.000, 0.500]]}



5.
{"formula": "Ba6TeRh2Br3", "functional": "GGA-PBE", "state": "relaxed", "total_energy_ev_per_atom": -4.079, "cell": [[10.523, -2.326, 0.000], [10.523, 2.326, 0.000], [-2.615, 0.000, 9.559]], "species": ["Ba", "Ba", "Ba", "Ba", "Ba", "Ba", "Te", "Rh", "Rh", "Br", "Br", "Br"], "frac_coords": [[0.020, 0.020, 0.260], [0.322, 0.322, 0.434], [0.330, 0.330, 0.876], [0.670, 0.670, 0.124], [0.678, 0.678, 0.566], [0.980, 0.980, 0.740], [0.500, 0.500, 0.000], [0.166, 0.166, 0.337], [0.834, 0.834, 0.663], [0.162, 0.162, 0.836], [0.500, 0.500, 0.500], [0.838, 0.838, 0.164]]}



6.
{"formula": "BaTiRhBr2", "functional": "GGA-PBE", "state": "relaxed", "total_energy_ev_per_atom": -4.424, "cell": [[5.437, 0.000, 0.000], [0.000, 5.437, 0.000], [0.000, 0.000, 4.764]], "species": ["Ba", "Ti", "Rh", "Br", "Br"], "frac_coords": [[0.000, 0.000, 0.000], [0.500, 0.500, 0.000], [0.500, 0.500, 0.500], [0.000, 0.500, 0.500], [0.500, 0.000, 0.500]]}



7.
{"formula": "Ba6Tl2RhBr", "functional": "GGA-PBE", "state": "relaxed", "total_energy_ev_per_atom": -3.088, "cell": [[8.089, 0.000, 0.000], [0.000, 9.159, 0.000], [-8.078, 0.000, 12.137]], "species": ["Ba", "Ba", "Ba", "Ba", "Ba", "Ba", "Ba", "Ba", "Ba", "Ba", "Ba", "Ba", "Tl", "Tl", "Tl", "Tl", "Rh", "Rh", "Br", "Br"], "frac_coords": [[0.097, 0.202, 0.435], [0.097, 0.298, 0.935], [0.256, 0.669, 0.441], [0.256, 0.831, 0.941], [0.362, 0.039, 0.237], [0.362, 0.461, 0.737], [0.638, 0.539, 0.263], [0.638, 0.961, 0.763], [0.744, 0.169, 0.059], [0.744, 0.331, 0.559], [0.903, 0.702, 0.065], [0.903, 0.798, 0.565], [0.207, 0.100, 0.746], [0.207, 0.400, 0.246], [0.793, 0.600, 0.754], [0.793, 0.900, 0.254], [0.000, 0.000, 0.000], [0.000, 0.500, 0.500], [0.500, 0.000, 0.500], [0.500, 0.500, 0.000]]}



8.
{"formula": "BaTl2RhBr", "functional": "GGA-PBE", "state": "relaxed", "total_energy_ev_per_atom": -3.805, "cell": [[5.265, 0.000, 0.000], [0.000, 5.265, 0.000], [0.000, 0.000, 6.111]], "species": ["Ba", "Tl", "Tl", "Rh", "Br"], "frac_coords": [[0.000, 0.000, 0.000], [0.000, 0.500, 0.500], [0.500, 0.000, 0.500], [0.000, 0.000, 0.500], [0.500, 0.500, 0.000]]}



9.
{"formula": "Ba2TlRhBr", "functional": "GGA-PBE", "state": "relaxed", "total_energy_ev_per_atom": -3.770, "cell": [[6.076, 0.000, 0.000], [0.000, 6.076, 0.000], [0.000, 0.000, 5.227]], "species": ["Ba", "Ba", "Tl", "Rh", "Br"], "frac_coords": [[0.000, 0.500, 0.000], [0.500, 0.000, 0.000], [0.000, 0.000, 0.500], [0.000, 0.000, 0.000], [0.500, 0.500, 0.500]]}



10.
{"formula": "BaZnRh2Br", "functional": "GGA-PBE", "state": "relaxed", "total_energy_ev_per_atom": -3.567, "cell": [[4.768, 0.000, 0.000], [0.000, 4.768, 0.000], [0.000, 0.000, 5.603]], "species": ["Ba", "Zn", "Rh", "Rh", "Br"], "frac_coords": [[0.000, 0.000, 0.000], [0.500, 0.500, 0.000], [0.000, 0.500, 0.500], [0.500, 0.000, 0.500], [0.500, 0.500, 0.500]]}



11.
{"formula": "BaRu2Br", "functional": "GGA-PBE", "state": "relaxed", "total_energy_ev_per_atom": -4.811, "cell": [[3.475, 0.000, 0.000], [0.000, 4.818, 0.000], [0.000, 0.000, 5.786]], "species": ["Ba", "Ru", "Ru", "Br"], "frac_coords": [[0.000, 0.000, 0.000], [0.000, 0.500, 0.500], [0.500, 0.000, 0.500], [0.500, 0.500, 0.000]]}



12.
{"formula": "BaRuBr2", "functional": "GGA-PBE", "state": "relaxed", "total_energy_ev_per_atom": -3.923, "cell": [[0.000, 3.789, 3.789], [3.789, 0.000, 3.789], [3.789, 3.789, 0.000]], "species": ["Ba", "Ru", "Br", "Br"], "frac_coords": [[0.000, 0.000, 0.000], [0.500, 0.500, 0.500], [0.250, 0.250, 0.250], [0.750, 0.750, 0.750]]}



What is the formula in the tenth record?
BaZnRh2Br